{
  "formula": "TiReI2O",
  "functional": "PBE",
  "state": "optimized geometry",
  "e_above_lowest_polymorph_mev_per_atom": 1208.5,
  "dos_at_fermi_per_ev_atom": 2.662,
  "e_tot_ev_per_atom": -4.324,
  "rho_g_cm3": 5.82,
  "lattice": [[-0.059, -0.183, -5.407], [4.622, -1.671, 0.006], [-1.838, -5.084, 0.192]],
  "species": ["Re", "Ti", "I", "I", "O"],
  "fractional_positions": [[0.000, 0.500, 0.000], [0.000, 0.000, 0.000], [0.000, 0.000, 0.500], [0.500, 0.000, 0.000], [0.500, 0.500, 0.500]]
}